Record 1
Here is a relaxed structure of CaTl2Cd from Alexandria via LeMat-Bulk. Energies are from PBE.

The structure in CIF format:
```
data_CaTl2Cd
_cell_length_a 5.229
_cell_length_b 5.630
_cell_length_c 7.567
_cell_angle_alpha 90.00
_cell_angle_beta 90.00
_cell_angle_gamma 90.00
_symmetry_space_group_name_H-M 'C m m m'
_symmetry_Int_Tables_number 65
_symmetry_space_group_name_Hall '-C 2 2'
loop_
_atom_site_label
_atom_site_type_symbol
_atom_site_fract_x
_atom_site_fract_y
_atom_site_fract_z
Ca1 Ca 0.000 0.000 0.000
Tl1 Tl 0.000 0.500 0.270
Cd1 Cd 0.000 0.000 0.500
```

Properties
As for the polymorph energy (0 for the lowest one): 27.3 kJ/mol of formula units. As for the total magnetic moment: 0.00 μB/f.u. The calculation puts the formation energy at -0.17 eV per atom. As for the electronic total energy: -8.333 eV/f.u.

Record 2
Here is a relaxed structure of ZrNp2Te5 from Alexandria via LeMat-Bulk. Energies are from PBE.

The structure in CIF format:
```
data_ZrNp2Te5
_cell_length_a 7.388
_cell_length_b 7.388
_cell_length_c 5.181
_cell_angle_alpha 90.00
_cell_angle_beta 90.00
_cell_angle_gamma 90.00
_symmetry_space_group_name_H-M 'P 4/m m m'
_symmetry_Int_Tables_number 123
_symmetry_space_group_name_Hall '-P 4 2'
loop_
_atom_site_label
_atom_site_type_symbol
_atom_site_fract_x
_atom_site_fract_y
_atom_site_fract_z
Zr1 Zr 0.000 0.000 0.000
Np1 Np 0.000 0.500 0.500
Te1 Te 0.000 0.000 0.500
Te2 Te 0.275 0.275 0.000
```

Properties
For the uncorrected formation energy, the calculation gives -0.142 eV per atom. As for the total magnetic moment: 9.00 μB/f.u. As for the electronic total energy: -51.274 eV/f.u.

Record 3
Here is a relaxed structure of Rb2Pu2VS6 from Alexandria via LeMat-Bulk. Energies are from PBE.

The structure in CIF format:
```
data_Rb2Pu2VS6
_cell_length_a 6.732
_cell_length_b 11.522
_cell_length_c 8.169
_cell_angle_alpha 90.00
_cell_angle_beta 106.23
_cell_angle_gamma 90.00
_symmetry_space_group_name_H-M 'C 1 2/m 1'
_symmetry_Int_Tables_number 12
loop_
_symmetry_equiv_pos_as_xyz
'x,y,z'
'-x,-y,-z'
'-x,y,-z'
'x,-y,z'
'x+1/2,y+1/2,z'
'-x+1/2,-y+1/2,-z'
'-x+1/2,y+1/2,-z'
'x+1/2,-y+1/2,z'
loop_
_atom_site_label
_atom_site_type_symbol
_atom_site_fract_x
_atom_site_fract_y
_atom_site_fract_z
Rb1 Rb 0.000 0.170 0.000
Pu1 Pu 0.000 0.333 0.500
V1 V 0.000 0.000 0.500
S1 S 0.217 0.155 0.681
S2 S 0.246 0.000 0.320
```

Properties
For the uncorrected formation energy, the calculation gives -1.359 eV per atom. As for the total magnetic moment: 11.00 μB/f.u. As for the electronic total energy: -79.435 eV/f.u.

Record 4
Here is a relaxed structure of MgIn2Ag2 from Alexandria via LeMat-Bulk. Energies are from PBE.

The structure in CIF format:
```
data_MgIn2Ag2
_cell_length_a 4.153
_cell_length_b 4.153
_cell_length_c 13.649
_cell_angle_alpha 90.00
_cell_angle_beta 90.00
_cell_angle_gamma 90.00
_symmetry_space_group_name_H-M 'I 4/m m m'
_symmetry_Int_Tables_number 139
_symmetry_space_group_name_Hall '-I 4 2'
loop_
_atom_site_label
_atom_site_type_symbol
_atom_site_fract_x
_atom_site_fract_y
_atom_site_fract_z
Mg1 Mg 0.000 0.000 0.000
In1 In 0.000 0.500 0.250
Ag1 Ag 0.000 0.000 0.402
```

Properties
As for the polymorph energy (0 for the lowest one): 87.4 kJ/mol of formula units. As for the total magnetic moment: 0.00 μB/f.u. The calculation puts the formation energy at 0.09 eV per atom. As for the electronic total energy: -12.323 eV/f.u.

Record 5
Here is a relaxed structure of CsKSbBr6 from Alexandria via LeMat-Bulk. Energies are from PBE.

The structure in CIF format:
```
data_CsKSbBr6
_cell_length_a 8.0853
_cell_length_b 8.0853
_cell_length_c 7.4867
_cell_angle_alpha 90.00
_cell_angle_beta 90.00
_cell_angle_gamma 120.00
_symmetry_space_group_name_H-M 'P 3 1 2'
_symmetry_Int_Tables_number 149
loop_
_symmetry_equiv_pos_as_xyz
'x,y,z'
'-y,x-y,z'
'-x+y,-x,z'
'-y,-x,-z'
'-x+y,y,-z'
'x,x-y,-z'
loop_
_atom_site_label
_atom_site_type_symbol
_atom_site_fract_x
_atom_site_fract_y
_atom_site_fract_z
Cs1 Cs 0.0000 0.0000 0.0000
K1 K 0.3333 0.6667 0.5000
Sb1 Sb 0.6667 0.3333 0.5000
Br1 Br 0.3980 0.0550 0.7124
```

Properties
For the uncorrected formation energy, the calculation gives -1.052 eV per atom. As for the total magnetic moment: 0.01 μB/f.u. As for the electronic total energy: -25.576 eV/f.u.

Record 6
Here is a relaxed structure of YCd2H from Alexandria via LeMat-Bulk. Energies are from PBE.

The structure in CIF format:
```
data_YCd2H
_cell_length_a 6.624
_cell_length_b 6.624
_cell_length_c 7.859
_cell_angle_alpha 90.00
_cell_angle_beta 90.00
_cell_angle_gamma 90.00
_symmetry_space_group_name_H-M 'I -4 2 d'
_symmetry_Int_Tables_number 122
_symmetry_space_group_name_Hall 'I -4 2bw'
loop_
_atom_site_label
_atom_site_type_symbol
_atom_site_fract_x
_atom_site_fract_y
_atom_site_fract_z
Y1 Y 0.000 0.000 0.000
Cd1 Cd 0.113 0.250 0.625
H1 H 0.000 0.000 0.500
```

Properties
As for the polymorph energy (0 for the lowest one): 0.0 kJ/mol of formula units. As for the total magnetic moment: 0.00 μB/f.u. As for the electronic total energy: -10.822 eV/f.u.

Record 7
Here is a relaxed structure of CsYGe2Bi from Alexandria via LeMat-Bulk. Energies are from PBE.

The structure in CIF format:
```
data_CsYGe2Bi
_cell_length_a 5.601
_cell_length_b 5.601
_cell_length_c 5.761
_cell_angle_alpha 90.00
_cell_angle_beta 90.00
_cell_angle_gamma 90.00
_symmetry_space_group_name_H-M 'P 4/m m m'
_symmetry_Int_Tables_number 123
_symmetry_space_group_name_Hall '-P 4 2'
loop_
_atom_site_label
_atom_site_type_symbol
_atom_site_fract_x
_atom_site_fract_y
_atom_site_fract_z
Cs1 Cs 0.000 0.000 0.000
Y1 Y 0.000 0.000 0.500
Ge1 Ge 0.000 0.500 0.000
Bi1 Bi 0.500 0.500 0.500
```

Properties
As for the total magnetic moment: 0.00 μB/f.u. The calculation puts the formation energy at 1.43 eV per atom. As for the electronic total energy: -13.295 eV/f.u.

Record 8
Here is a relaxed structure of Th2CuHg from Alexandria via LeMat-Bulk. Energies are from PBE.

The structure in CIF format:
```
data_Th2CuHg
_cell_length_a 7.449
_cell_length_b 7.449
_cell_length_c 7.449
_cell_angle_alpha 90.00
_cell_angle_beta 90.00
_cell_angle_gamma 90.00
_symmetry_space_group_name_H-M 'F m -3 m'
_symmetry_Int_Tables_number 225
_symmetry_space_group_name_Hall '-F 4 2 3'
loop_
_atom_site_label
_atom_site_type_symbol
_atom_site_fract_x
_atom_site_fract_y
_atom_site_fract_z
Th1 Th 0.250 0.250 0.250
Cu1 Cu 0.000 0.000 0.000
Hg1 Hg 0.000 0.000 0.500
```

Properties
As for the polymorph energy (0 for the lowest one): 23.7 kJ/mol of formula units. As for the total magnetic moment: 0.00 μB/f.u. The calculation puts the formation energy at -0.07 eV per atom. As for the electronic total energy: -19.522 eV/f.u.